# Sc3TlH

A relaxed structure of Sc3TlH (PBE-GGA, Alexandria via LeMat-Bulk).

Cell: 5.0162 5.0162 8.9433 Å, 90.00 90.00 120.00°
Closest atoms and distances in Å follow each position.
Element x y z (fractional)
Sc: 0.3333 0.6667 0.4183  4 Tl 2.97-3.26, 3 H 2.99, 7 Sc 3.01-3.26
Sc: 0.0000 0.0000 0.7500  2 H 2.24
Sc: 0.0000 0.0000 0.2500  2 H 2.24
Sc: 0.6667 0.3333 0.5817  4 Tl 2.97-3.26, 3 H 2.99, 7 Sc 3.01-3.26
Sc: 0.6667 0.3333 0.9183  4 Tl 2.97-3.26, 3 H 2.99, 7 Sc 3.01-3.26
Sc: 0.3333 0.6667 0.0817  4 Tl 2.97-3.26, 3 H 2.99, 7 Sc 3.01-3.26
Tl: 0.3333 0.6667 0.7500  5 Sc 2.90-2.97
Tl: 0.6667 0.3333 0.2500  5 Sc 2.90-2.97
H: 0.0000 0.0000 0.5000  2 Sc 2.24
H: 0.0000 0.0000 0.0000  2 Sc 2.24

Computed properties:
E above lowest polymorph: 293.3 meV per atom
E: -5.022 eV/atom
magnetization: 5.1 μB per cell